1.
Density functional theory data (PBE) for PmCoGe2Os after structural relaxation.

Structure (extended XYZ):
```
5
Lattice="-3.590 -0.813 -1.893 2.013 -0.574 -3.571 1.333 -4.292 3.840" Properties=species:S:1:pos:R:3 pbc="T T T"
Co -1.523 -2.899 -0.392
Os 1.279 -2.780 -1.231
Pm 0.000 0.000 0.000
Ge -0.649 -1.974 -2.447
Ge 0.405 -3.704 0.824
```

Output
Calculated total energy ... -0.256 hartree per atom
Size of the total moment ... 0.00 μB per formula unit
Energy relative to the elements ... -0.4939 eV per atom

---

2.
Density functional theory data (PBE) for BeCd2Ag after structural relaxation.

Structure (extended XYZ):
```
4
Lattice="-0.979 9.355 -0.306 -3.843 8.590 -0.081 -2.176 8.845 2.367" Properties=species:S:1:pos:R:3 pbc="T T T"
Cd -0.091 0.347 0.026
Cd -1.711 6.550 0.484
Be -5.290 20.250 1.497
Ag -3.405 13.037 0.964
```

Output
Calculated total energy ... -0.069 hartree per atom
Size of the total moment ... 0.00 μB per formula unit
Energy relative to the elements ... 0.2379 eV per atom

---

3.
Density functional theory data (PBE) for TcSbAuI2 after structural relaxation.

Structure (extended XYZ):
```
5
Lattice="-5.143 0.348 -2.057 0.760 -4.785 -2.708 -1.954 -2.808 4.414" Properties=species:S:1:pos:R:3 pbc="T T T"
I -2.572 0.174 -1.028
I 0.380 -2.392 -1.354
Tc -3.169 -3.623 -0.176
Sb -0.977 -1.404 2.207
Au 0.000 0.000 0.000
```

Output
Calculated total energy ... -0.110 hartree per atom
Size of the total moment ... 4.15 μB per formula unit
Distance to the lowest polymorph of the same formula ... 451 meV/atom
Formation energy without anion corrections ... 1.170 eV per atom

---

4.
Density functional theory data (PBE) for Na3MgV after structural relaxation.

Structure (extended XYZ):
```
5
Lattice="-3.097 -3.956 -2.793 2.185 -4.100 3.385 -4.322 0.762 3.713" Properties=species:S:1:pos:R:3 pbc="T T T"
Na 1.092 -2.050 1.692
Na -1.549 -1.978 -1.397
Na -2.161 0.381 1.857
Mg -2.617 -3.647 2.152
V 0.000 0.000 0.000
```

Output
Calculated total energy ... -0.072 hartree per atom
Size of the total moment ... 4.91 μB per formula unit
Distance to the lowest polymorph of the same formula ... 0 meV/atom
Energy relative to the elements ... 0.9851 eV per atom

---

5.
Density functional theory data (PBE) for P3C after structural relaxation.

Structure (extended XYZ):
```
16
Lattice="6.264 0.000 0.000 -3.132 5.425 0.000 0.000 0.000 5.660" Properties=species:S:1:pos:R:3 pbc="T T T"
C 0.000 0.000 0.000
C 3.132 1.808 4.245
C 0.000 3.617 1.415
C 0.000 0.000 2.830
P 1.566 2.712 2.830
P 4.841 0.821 1.415
P -1.566 2.712 0.000
P 3.132 0.000 0.000
P 3.132 3.782 1.415
P 1.566 2.712 0.000
P -1.709 4.603 4.245
P 3.132 0.000 2.830
P 1.709 4.603 4.245
P -1.566 2.712 2.830
P 0.000 1.643 4.245
P 1.423 0.821 1.415
```

Output
Calculated total energy ... -0.194 hartree per atom
Size of the total moment ... 0.00 μB per formula unit
Distance to the lowest polymorph of the same formula ... 672 meV/atom
Energy relative to the elements ... 1.0803 eV per atom

---

6.
Density functional theory data (PBE) for TbGdScSn after structural relaxation.

Structure (extended XYZ):
```
4
Lattice="5.336 0.000 0.000 2.668 4.621 0.000 2.668 1.540 4.357" Properties=species:S:1:pos:R:3 pbc="T T T"
Tb 0.000 0.000 0.000
Gd 5.336 3.081 2.179
Sn 2.668 1.540 1.089
Sc 8.004 4.621 3.268
```

Output
Calculated total energy ... -0.277 hartree per atom
Size of the total moment ... 8.26 μB per formula unit
Energy relative to the elements ... -0.2727 eV per atom

---

7.
Density functional theory data (PBE) for LiSb2Te after structural relaxation.

Structure (extended XYZ):
```
4
Lattice="-6.909 0.036 1.087 -4.439 -5.231 1.356 6.081 3.048 1.626" Properties=species:S:1:pos:R:3 pbc="T T T"
Te -3.251 0.243 1.967
Li -2.016 -2.390 2.102
Sb -6.227 -2.851 1.341
Sb -10.795 -4.942 2.324
```

Output
Calculated total energy ... -0.129 hartree per atom
Size of the total moment ... 0.00 μB per formula unit
Formation energy without anion corrections ... -0.191 eV per atom

---

8.
Density functional theory data (PBE) for Nd3Zr2TaN6 after structural relaxation.

Structure (extended XYZ):
```
12
Lattice="5.803 -0.002 0.000 -2.902 5.025 0.000 -0.968 -1.676 5.734" Properties=species:S:1:pos:R:3 pbc="T T T"
N -0.035 -0.061 4.532
N 1.969 3.409 1.202
N 0.069 3.346 4.551
N 2.864 1.732 4.551
N -0.931 1.616 1.182
N 1.864 0.001 1.182
Nd 0.967 1.674 2.867
Nd -1.927 3.345 2.867
Nd 3.861 0.002 2.867
Zr 2.901 1.674 0.000
Zr 0.000 3.349 0.000
Ta 0.000 0.000 0.000
```

Output
Calculated total energy ... -0.338 hartree per atom
Size of the total moment ... 0.00 μB per formula unit
Formation energy without anion corrections ... -1.434 eV per atom

---

9.
Density functional theory data (PBE) for MgTe2Pt after structural relaxation.

Structure (extended XYZ):
```
4
Lattice="-4.095 -0.094 -0.239 -1.830 -1.605 -3.304 -2.016 -6.620 1.773" Properties=species:S:1:pos:R:3 pbc="T T T"
Mg -5.956 -6.239 -1.327
Te -3.965 -3.962 -0.978
Te -5.931 -1.897 -3.449
Pt -1.985 -2.080 -0.442
```

Output
Calculated total energy ... -0.141 hartree per atom
Size of the total moment ... 0.00 μB per formula unit
Formation energy without anion corrections ... -0.356 eV per atom